Material: PmIn2Pd6
Method: DFT, PBE
State: optimized geometry

Cell and atoms, written as POSCAR:
```
PmIn2Pd6
1.0
-1.458 -1.591 2.293
6.106 -1.011 5.342
1.444 4.835 6.433
Pm Pd In
1 6 2
Cartesian
3.046 1.116 7.034
2.258 3.814 6.243
4.750 0.203 9.645
5.292 0.010 5.533
1.342 2.030 4.423
3.047 -0.107 4.024
3.046 2.340 10.044
0.614 0.012 2.560
5.479 2.221 11.509
```

***

Pm12InPd6 (PBE, optimized geometry); energy above the lowest structure with this stoichiometry = 111 meV/atom
1.0
-8.918 -0.323 0.226
3.191 -8.324 -0.468
2.953 3.818 7.509
Pd Pm In
6 12 1
Cartesian
1.429 -3.042 5.619
-2.799 -5.391 2.444
0.975 -4.351 1.921
-3.749 -0.477 5.346
-4.203 -1.786 1.648
0.025 0.562 4.823
-0.417 -4.926 4.352
-1.201 -1.569 6.282
-6.518 -2.848 0.276
-6.185 1.080 5.234
-3.998 -3.280 4.078
1.224 -1.548 3.189
-2.522 -7.736 0.775
-2.357 0.097 2.915
-0.253 2.908 6.492
-1.573 -3.259 0.985
3.410 -5.908 2.033
3.743 -1.981 6.991
0.000 0.000 0.000

***

Material: PmInPd2
Method: DFT, PBE
State: optimized geometry

Cell and atoms, written as POSCAR:
```
PmInPd2
1.0
-0.500 3.434 0.547
-3.243 -0.261 -1.326
-2.400 -1.326 6.131
Pm Pd In
1 2 1
Cartesian
-3.071 0.924 2.676
-1.868 -1.032 4.772
-0.532 -0.294 1.359
-1.871 1.587 -0.389
```

***

| no. | total magnetization (μB/f.u.) | DFT formation energy (eV/atom) |
| --- | --- | --- |
| 1 | 0.00 | -0.41 |
| 2 | 0.00 | -0.45 |
| 3 | 0.00 | -0.64 |